Entry from the Alexandria database: a relaxed NaGa12Pd4 crystal (PBE).

Summary:
E_tot in eV/atom: -3.61
ρ in g/cm3: 6.10
Energy of formation from the pure elements in eV/atom: -0.175
SG: Im-3, No. 204

Unit cell a=7.6874 b=7.6874 c=7.6874 alpha=109.47 beta=109.47 gamma=109.47
Element x y z (fractional)
Na: 0.0000 0.0000 0.0000
Ga: 0.1523 0.4977 0.3454
Ga: 0.1523 0.8068 0.6546
Ga: 0.1932 0.3454 0.8477
Ga: 0.3454 0.1523 0.4977
Ga: 0.3454 0.8477 0.1932
Ga: 0.4977 0.3454 0.1523
Ga: 0.5023 0.6546 0.8477
Ga: 0.6546 0.1523 0.8068
Ga: 0.6546 0.8477 0.5023
Ga: 0.8068 0.6546 0.1523
Ga: 0.8477 0.1932 0.3454
Ga: 0.8477 0.5023 0.6546
Pd: 0.0000 0.0000 0.5000
Pd: 0.0000 0.5000 0.0000
Pd: 0.5000 0.0000 0.0000
Pd: 0.5000 0.5000 0.5000

=====

Entry from the Alexandria database: a relaxed NaGaPd3 crystal (PBE).

Summary:
E_tot in eV/atom: -3.21
ρ in g/cm3: 6.92
Distance to the lowest polymorph of the same formula in eV/f.u.: 5.40
Energy of formation from the pure elements in eV/atom: 0.775
SG: Pm-3m, No. 221

Unit cell a=4.6240 b=4.6240 c=4.6240 alpha=90.00 beta=90.00 gamma=90.00
Element x y z (fractional)
Na: 0.0000 0.0000 0.0000
Ga: 0.5000 0.5000 0.5000
Pd: 0.0000 0.0000 0.5000
Pd: 0.0000 0.5000 0.0000
Pd: 0.5000 0.0000 0.0000

=====

Entry from the Alexandria database: a relaxed NaGa3Pd crystal (PBE).

Summary:
E_tot in eV/atom: -3.44
ρ in g/cm3: 5.82
Distance to the lowest polymorph of the same formula in eV/f.u.: 0.00
Energy of formation from the pure elements in eV/atom: -0.319
SG: Pnma, No. 62

Unit cell a=8.1241 b=4.1251 c=11.5372 alpha=90.00 beta=90.00 gamma=90.00
Element x y z (fractional)
Na: 0.1722 0.2500 0.0008
Na: 0.3278 0.7500 0.5008
Na: 0.6722 0.2500 0.4992
Na: 0.8278 0.7500 0.9992
Ga: 0.0617 0.2500 0.4131
Ga: 0.0840 0.7500 0.2055
Ga: 0.1642 0.7500 0.7816
Ga: 0.3358 0.2500 0.2816
Ga: 0.4160 0.2500 0.7055
Ga: 0.4383 0.7500 0.9131
Ga: 0.5617 0.2500 0.0869
Ga: 0.5840 0.7500 0.2945
Ga: 0.6642 0.7500 0.7184
Ga: 0.8358 0.2500 0.2184
Ga: 0.9160 0.2500 0.7945
Ga: 0.9383 0.7500 0.5869
Pd: 0.1255 0.2500 0.6343
Pd: 0.3745 0.7500 0.1343
Pd: 0.6255 0.2500 0.8657
Pd: 0.8745 0.7500 0.3657

=====

Entry from the Alexandria database: a relaxed Na2GaPd crystal (PBE).

Summary:
E_tot in eV/atom: -2.70
ρ in g/cm3: 4.61
Energy of formation from the pure elements in eV/atom: 0.010
SG: I-42d, No. 122

Unit cell a=11.0766 b=11.0766 c=11.0766 alpha=159.94 beta=159.94 gamma=28.52
Element x y z (fractional)
Na: 0.1180 0.6250 0.9930
Na: 0.3750 0.3680 0.4930
Na: 0.6320 0.1250 0.0070
Na: 0.8750 0.8820 0.5070
Ga: 0.2500 0.7500 0.5000
Ga: 0.5000 0.5000 0.0000
Pd: 0.0000 0.0000 0.0000
Pd: 0.7500 0.2500 0.5000

=====

Entry from the Alexandria database: a relaxed Na2Ga4PdPt3 crystal (PBE).

Summary:
E_tot in eV/atom: -4.39
ρ in g/cm3: 8.97
Energy of formation from the pure elements in eV/atom: -0.588
SG: P-4m2, No. 115

Unit cell a=4.2009 b=4.2009 c=10.6658 alpha=90.00 beta=90.00 gamma=90.00
Element x y z (fractional)
Na: 0.0000 0.5000 0.2449
Na: 0.5000 0.0000 0.7551
Ga: 0.0000 0.0000 0.5000
Ga: 0.0000 0.5000 0.8671
Ga: 0.5000 0.0000 0.1329
Ga: 0.5000 0.5000 0.5000
Pd: 0.5000 0.5000 0.0000
Pt: 0.0000 0.0000 0.0000
Pt: 0.0000 0.5000 0.6346
Pt: 0.5000 0.0000 0.3654

=====

Entry from the Alexandria database: a relaxed NaGaPdPt crystal (PBE).

Summary:
E_tot in eV/atom: -4.25
ρ in g/cm3: 10.44
Energy of formation from the pure elements in eV/atom: -0.353
SG: F-43m, No. 216

Unit cell a=4.4586 b=4.4586 c=4.4586 alpha=60.00 beta=60.00 gamma=60.00
Element x y z (fractional)
Na: 0.0000 0.0000 0.0000
Ga: 0.5000 0.5000 0.5000
Pd: 0.2500 0.2500 0.2500
Pt: 0.7500 0.7500 0.7500

=====

Entry from the Alexandria database: a relaxed Na2Ga5PdPt2 crystal (PBE).

Summary:
E_tot in eV/atom: -3.88
ρ in g/cm3: 8.15
Energy of formation from the pure elements in eV/atom: -0.379
SG: P4/mbm, No. 127

Unit cell a=10.1469 b=10.1469 c=3.5281 alpha=90.00 beta=90.00 gamma=90.00
Element x y z (fractional)
Na: 0.1729 0.3271 0.0000
Na: 0.3271 0.8271 0.0000
Na: 0.6729 0.1729 0.0000
Na: 0.8271 0.6729 0.0000
Ga: 0.0000 0.5000 0.5000
Ga: 0.0630 0.8082 0.5000
Ga: 0.1918 0.0630 0.5000
Ga: 0.3082 0.5630 0.5000
Ga: 0.4370 0.3082 0.5000
Ga: 0.5000 0.0000 0.5000
Ga: 0.5630 0.6918 0.5000
Ga: 0.6918 0.4370 0.5000
Ga: 0.8082 0.9370 0.5000
Ga: 0.9370 0.1918 0.5000
Pd: 0.0000 0.0000 0.0000
Pd: 0.5000 0.5000 0.0000
Pt: 0.1286 0.6286 0.0000
Pt: 0.3714 0.1286 0.0000
Pt: 0.6286 0.8714 0.0000
Pt: 0.8714 0.3714 0.0000

=====

Entry from the Alexandria database: a relaxed RbNa2GaPd crystal (PBE).

Summary:
E_tot in eV/atom: -2.50
ρ in g/cm3: 3.23
Energy of formation from the pure elements in eV/atom: -0.133
SG: P4/mmm, No. 123

Unit cell a=5.6787 b=5.6787 c=4.9004 alpha=90.00 beta=90.00 gamma=90.00
Element x y z (fractional)
Rb: 0.0000 0.0000 0.0000
Na: 0.0000 0.5000 0.5000
Na: 0.5000 0.0000 0.5000
Ga: 0.5000 0.5000 0.0000
Pd: 0.5000 0.5000 0.5000

=====

Entry from the Alexandria database: a relaxed RbNaGa2Pd crystal (PBE).

Summary:
E_tot in eV/atom: -2.91
ρ in g/cm3: 4.29
Energy of formation from the pure elements in eV/atom: -0.200
SG: P4/mmm, No. 123

Unit cell a=4.9178 b=4.9178 c=5.6737 alpha=90.00 beta=90.00 gamma=90.00
Element x y z (fractional)
Rb: 0.0000 0.0000 0.0000
Na: 0.5000 0.5000 0.0000
Ga: 0.0000 0.5000 0.5000
Ga: 0.5000 0.0000 0.5000
Pd: 0.5000 0.5000 0.5000

=====

Entry from the Alexandria database: a relaxed Na2GaRePd crystal (PBE).

Summary:
E_tot in eV/atom: -3.50
ρ in g/cm3: 5.31
Energy of formation from the pure elements in eV/atom: 1.158
SG: P4/mmm, No. 123

Unit cell a=5.1663 b=5.1663 c=4.7820 alpha=90.00 beta=90.00 gamma=90.00
Element x y z (fractional)
Na: 0.0000 0.5000 0.0000
Na: 0.5000 0.0000 0.0000
Ga: 0.0000 0.0000 0.5000
Re: 0.5000 0.5000 0.5000
Pd: 0.0000 0.0000 0.0000

=====

Entry from the Alexandria database: a relaxed NaGaPdRh crystal (PBE).

Summary:
E_tot in eV/atom: -4.49
ρ in g/cm3: 8.28
Energy of formation from the pure elements in eV/atom: -0.269
SG: F-43m, No. 216

Unit cell a=4.4075 b=4.4075 c=4.4075 alpha=60.00 beta=60.00 gamma=60.00
Element x y z (fractional)
Na: 0.0000 0.0000 0.0000
Ga: 0.5000 0.5000 0.5000
Pd: 0.7500 0.7500 0.7500
Rh: 0.2500 0.2500 0.2500

=====

Entry from the Alexandria database: a relaxed NaGaPdSe3 crystal (PBE).

Summary:
E_tot in eV/atom: -3.86
ρ in g/cm3: 4.66
E_form (uncorrected) in eV/atom: -0.52
SG: P2_1/m, No. 11

Unit cell a=7.9123 b=3.8001 c=10.4964 alpha=90.00 beta=100.14 gamma=90.00
Element x y z (fractional)
Na: 0.1741 0.2500 0.1467
Na: 0.8259 0.7500 0.8533
Ga: 0.0996 0.2500 0.6166
Ga: 0.9004 0.7500 0.3834
Pd: 0.3528 0.7500 0.8849
Pd: 0.6472 0.2500 0.1151
Se: 0.1256 0.2500 0.8465
Se: 0.2110 0.7500 0.5042
Se: 0.4512 0.7500 0.1497
Se: 0.5488 0.2500 0.8503
Se: 0.7890 0.2500 0.4958
Se: 0.8744 0.7500 0.1535

=====

Entry from the Alexandria database: a relaxed NaGaSnPd crystal (PBE).

Summary:
E_tot in eV/atom: -3.61
ρ in g/cm3: 6.97
Distance to the lowest polymorph of the same formula in eV/f.u.: 0.49
Energy of formation from the pure elements in eV/atom: -0.221
SG: F-43m, No. 216

Unit cell a=4.7490 b=4.7490 c=4.7490 alpha=60.00 beta=60.00 gamma=60.00
Element x y z (fractional)
Na: 0.0000 0.0000 0.0000
Ga: 0.2500 0.2500 0.2500
Sn: 0.7500 0.7500 0.7500
Pd: 0.5000 0.5000 0.5000

=====

Entry from the Alexandria database: a relaxed NaGaSnPd crystal (PBE).

Summary:
E_tot in eV/atom: -3.73
ρ in g/cm3: 5.94
Distance to the lowest polymorph of the same formula in eV/f.u.: 0.00
Energy of formation from the pure elements in eV/atom: -0.344
SG: R3m, No. 160

Unit cell a=5.8166 b=5.8166 c=5.8166 alpha=44.79 beta=44.79 gamma=44.79
Element x y z (fractional)
Na: 0.0000 0.0000 0.0000
Ga: 0.5601 0.5601 0.5601
Sn: 0.7906 0.7906 0.7906
Pd: 0.1933 0.1933 0.1933

=====

Entry from the Alexandria database: a relaxed NaGaSn2Pd4 crystal (PBE).

Summary:
E_tot in eV/atom: -4.61
ρ in g/cm3: 8.98
Energy of formation from the pure elements in eV/atom: -0.473
SG: R-3m, No. 166

Unit cell a=8.0062 b=8.0062 c=8.0062 alpha=33.56 beta=33.56 gamma=33.56
Element x y z (fractional)
Na: 0.0000 0.0000 0.0000
Ga: 0.5000 0.5000 0.5000
Sn: 0.2564 0.2564 0.2564
Sn: 0.7436 0.7436 0.7436
Pd: 0.1332 0.1332 0.1332
Pd: 0.3879 0.3879 0.3879
Pd: 0.6121 0.6121 0.6121
Pd: 0.8668 0.8668 0.8668

=====

Entry from the Alexandria database: a relaxed Na2Zn2GaPd5 crystal (PBE).

Summary:
E_tot in eV/atom: -3.83
ρ in g/cm3: 7.58
Energy of formation from the pure elements in eV/atom: -0.409
SG: P4/mbm, No. 127

Unit cell a=10.6380 b=10.6380 c=3.0139 alpha=90.00 beta=90.00 gamma=90.00
Element x y z (fractional)
Na: 0.1741 0.3259 0.0000
Na: 0.3259 0.8259 0.0000
Na: 0.6741 0.1741 0.0000
Na: 0.8259 0.6741 0.0000
Zn: 0.1349 0.6349 0.0000
Zn: 0.3651 0.1349 0.0000
Zn: 0.6349 0.8651 0.0000
Zn: 0.8651 0.3651 0.0000
Ga: 0.0000 0.0000 0.0000
Ga: 0.5000 0.5000 0.0000
Pd: 0.0000 0.5000 0.5000
Pd: 0.0484 0.8084 0.5000
Pd: 0.1916 0.0484 0.5000
Pd: 0.3084 0.5484 0.5000
Pd: 0.4516 0.3084 0.5000
Pd: 0.5000 0.0000 0.5000
Pd: 0.5484 0.6916 0.5000
Pd: 0.6916 0.4516 0.5000
Pd: 0.8084 0.9516 0.5000
Pd: 0.9516 0.1916 0.5000

=====

Entry from the Alexandria database: a relaxed NaZn2Ga4Pd crystal (PBE).

Summary:
E_tot in eV/atom: -2.79
ρ in g/cm3: 5.86
Energy of formation from the pure elements in eV/atom: -0.145
SG: R-3m, No. 166

Unit cell a=9.7454 b=9.7454 c=9.7454 alpha=25.66 beta=25.66 gamma=25.66
Element x y z (fractional)
Na: 0.0000 0.0000 0.0000
Zn: 0.2575 0.2575 0.2575
Zn: 0.7425 0.7425 0.7425
Ga: 0.1318 0.1318 0.1318
Ga: 0.4052 0.4052 0.4052
Ga: 0.5948 0.5948 0.5948
Ga: 0.8682 0.8682 0.8682
Pd: 0.5000 0.5000 0.5000

=====

Entry from the Alexandria database: a relaxed NaPm2Ga crystal (PBE).

Summary:
E_tot in eV/atom: -3.57
ρ in g/cm3: 5.80
Energy of formation from the pure elements in eV/atom: -0.111
SG: P4/mmm, No. 123

Unit cell a=5.2370 b=5.2370 c=3.9937 alpha=90.00 beta=90.00 gamma=90.00
Element x y z (fractional)
Na: 0.0000 0.0000 0.0000
Pm: 0.0000 0.5000 0.5000
Pm: 0.5000 0.0000 0.5000
Ga: 0.5000 0.5000 0.0000

=====

Entry from the Alexandria database: a relaxed NaPmGa crystal (PBE).

Summary:
E_tot in eV/atom: -3.14
ρ in g/cm3: 4.48
Energy of formation from the pure elements in eV/atom: -0.103
SG: Fmmm, No. 69

Unit cell a=7.3644 b=6.3819 c=5.9061 alpha=73.53 beta=56.20 gamma=50.27
Element x y z (fractional)
Na: 0.1645 0.8355 0.1645
Na: 0.8355 0.1645 0.8355
Pm: 0.3221 0.3221 0.6779
Pm: 0.6779 0.6779 0.3221
Ga: 0.2500 0.2500 0.2500
Ga: 0.7500 0.7500 0.7500

=====

Entry from the Alexandria database: a relaxed NaPm3Ga8 crystal (PBE).

Summary:
E_tot in eV/atom: -3.78
ρ in g/cm3: 6.80
Energy of formation from the pure elements in eV/atom: -0.461
SG: R3m, No. 160

Unit cell a=9.7144 b=9.7144 c=9.7144 alpha=33.44 beta=33.44 gamma=33.44
Element x y z (fractional)
Na: 0.0000 0.0000 0.0000
Pm: 0.3701 0.3701 0.3701
Pm: 0.4984 0.4984 0.4984
Pm: 0.8789 0.8789 0.8789
Ga: 0.1860 0.1860 0.1860
Ga: 0.4356 0.4356 0.9331
Ga: 0.4356 0.9331 0.4356
Ga: 0.4380 0.9360 0.9360
Ga: 0.6860 0.6860 0.6860
Ga: 0.9331 0.4356 0.4356
Ga: 0.9360 0.4380 0.9360
Ga: 0.9360 0.9360 0.4380

=====

Entry from the Alexandria database: a relaxed NaPmGa6 crystal (PBE).

Summary:
E_tot in eV/atom: -3.31
ρ in g/cm3: 5.85
Energy of formation from the pure elements in eV/atom: -0.279
SG: Pmm2, No. 25

Unit cell a=4.3911 b=5.9561 c=6.3667 alpha=90.00 beta=90.00 gamma=90.00
Element x y z (fractional)
Na: 0.0000 0.0000 0.0000
Pm: 0.5000 0.5000 0.1760
Ga: 0.0000 0.2653 0.4463
Ga: 0.0000 0.5000 0.8300
Ga: 0.0000 0.7347 0.4463
Ga: 0.5000 0.0000 0.3507
Ga: 0.5000 0.2345 0.7259
Ga: 0.5000 0.7655 0.7259

=====

Entry from the Alexandria database: a relaxed NaPm2Ga crystal (PBE).

Summary:
E_tot in eV/atom: -3.51
ρ in g/cm3: 4.74
Energy of formation from the pure elements in eV/atom: -0.051
SG: R-3m, No. 166

Unit cell a=11.7698 b=11.7698 c=11.7698 alpha=17.87 beta=17.87 gamma=17.87
Element x y z (fractional)
Na: 0.0000 0.0000 0.0000
Pm: 0.1050 0.1050 0.1050
Pm: 0.8950 0.8950 0.8950
Ga: 0.5000 0.5000 0.5000

=====

Entry from the Alexandria database: a relaxed NaPm2Ga crystal (PBE).

Summary:
E_tot in eV/atom: -3.64
ρ in g/cm3: 5.34
Energy of formation from the pure elements in eV/atom: -0.178
SG: P4/mmm, No. 123

Unit cell a=3.5652 b=3.5652 c=9.3702 alpha=90.00 beta=90.00 gamma=90.00
Element x y z (fractional)
Na: 0.0000 0.0000 0.0000
Pm: 0.5000 0.5000 0.3013
Pm: 0.5000 0.5000 0.6987
Ga: 0.0000 0.0000 0.5000